(1)
La2AlCd | PBE-GGA | relaxed

- D(E_F) (states/eV/cell) = 28.11
- V (Å³ per atom) = 30.67
- E (eV/f.u.) = -14.282
- spin magnetization (μB per formula unit) = 0.7
- E_form (eV/atom) = 0.06

Geometry as CIF:
```
data_La2AlCd
_cell_length_a 8.746
_cell_length_b 8.746
_cell_length_c 6.416
_cell_angle_alpha 90.00
_cell_angle_beta 90.00
_cell_angle_gamma 90.00
_symmetry_space_group_name_H-M 'I -4 2 d'
_symmetry_Int_Tables_number 122
_symmetry_space_group_name_Hall 'I -4 2bw'
loop_
_atom_site_label
_atom_site_type_symbol
_atom_site_fract_x
_atom_site_fract_y
_atom_site_fract_z
La1 La 0.240 0.250 0.125
Al1 Al 0.000 0.000 0.000
Cd1 Cd 0.000 0.000 0.500
```

(2)
La2AlCd2 | PBE-GGA | relaxed

- D(E_F) (states/eV/cell) = 13.75
- V (Å³ per atom) = 30.09
- E (eV/f.u.) = -15.920
- spin magnetization (μB per formula unit) = 0.0
- E_form (eV/atom) = -0.10
- relative energy among the computed polymorphs (meV/atom) = 229

Geometry as CIF:
```
data_La2AlCd2
_cell_length_a 3.944
_cell_length_b 3.944
_cell_length_c 19.341
_cell_angle_alpha 90.00
_cell_angle_beta 90.00
_cell_angle_gamma 90.00
_symmetry_space_group_name_H-M 'I 4/m m m'
_symmetry_Int_Tables_number 139
_symmetry_space_group_name_Hall '-I 4 2'
loop_
_atom_site_label
_atom_site_type_symbol
_atom_site_fract_x
_atom_site_fract_y
_atom_site_fract_z
La1 La 0.000 0.000 0.094
Al1 Al 0.000 0.000 0.500
Cd1 Cd 0.000 0.500 0.250
```

(3)
La2AlCd16 | PBE-GGA | relaxed

- D(E_F) (states/eV/cell) = 17.41
- V (Å³ per atom) = 23.38
- E (eV/f.u.) = -31.416
- spin magnetization (μB per formula unit) = 0.0
- E_form (eV/atom) = -0.17

Geometry as CIF:
```
data_La2AlCd16
_cell_length_a 10.1649
_cell_length_b 10.1649
_cell_length_c 14.8961
_cell_angle_alpha 90.00
_cell_angle_beta 90.00
_cell_angle_gamma 120.00
_symmetry_space_group_name_H-M 'R 3 m'
_symmetry_Int_Tables_number 160
_symmetry_space_group_name_Hall 'R 3 -2"'
loop_
_atom_site_label
_atom_site_type_symbol
_atom_site_fract_x
_atom_site_fract_y
_atom_site_fract_z
La1 La 0.0000 0.0000 0.0000
La2 La 0.0000 0.0000 0.3429
Al1 Al 0.0000 0.0000 0.7690
Cd1 Cd 0.0000 0.0000 0.5770
Cd2 Cd 0.0321 0.3649 0.3376
Cd3 Cd 0.1735 0.3470 0.1532
Cd4 Cd 0.1802 0.3605 0.5072
Cd5 Cd 0.1876 0.3752 0.8512
```

(4)
La12AlCd3 | PBE-GGA | relaxed

- D(E_F) (states/eV/cell) = 22.54
- V (Å³ per atom) = 32.15
- E (eV/f.u.) = -67.993
- spin magnetization (μB per formula unit) = 0.0
- E_form (eV/atom) = -0.15

Geometry as CIF:
```
data_La12AlCd3
_cell_length_a 5.053
_cell_length_b 5.053
_cell_length_c 20.145
_cell_angle_alpha 90.00
_cell_angle_beta 90.00
_cell_angle_gamma 90.00
_symmetry_space_group_name_H-M 'P 4/m m m'
_symmetry_Int_Tables_number 123
_symmetry_space_group_name_Hall '-P 4 2'
loop_
_atom_site_label
_atom_site_type_symbol
_atom_site_fract_x
_atom_site_fract_y
_atom_site_fract_z
La1 La 0.000 0.000 0.000
La2 La 0.000 0.000 0.248
La3 La 0.000 0.000 0.500
La4 La 0.000 0.500 0.120
La5 La 0.000 0.500 0.374
Al1 Al 0.500 0.500 0.000
Cd1 Cd 0.500 0.500 0.249
Cd2 Cd 0.500 0.500 0.500
```

(5)
La2AlCd | PBE-GGA | relaxed

- D(E_F) (states/eV/cell) = 8.95
- V (Å³ per atom) = 28.15
- E (eV/f.u.) = -15.729
- spin magnetization (μB per formula unit) = 0.0
- E_form (eV/atom) = -0.30

Geometry as CIF:
```
data_La2AlCd
_cell_length_a 3.898
_cell_length_b 5.312
_cell_length_c 10.876
_cell_angle_alpha 90.00
_cell_angle_beta 90.00
_cell_angle_gamma 90.00
_symmetry_space_group_name_H-M 'I m m 2'
_symmetry_Int_Tables_number 44
loop_
_symmetry_equiv_pos_as_xyz
'x,y,z'
'-x,-y,z'
'-x,y,z'
'x,-y,z'
'x+1/2,y+1/2,z+1/2'
'-x+1/2,-y+1/2,z+1/2'
'-x+1/2,y+1/2,z+1/2'
'x+1/2,-y+1/2,z+1/2'
loop_
_atom_site_label
_atom_site_type_symbol
_atom_site_fract_x
_atom_site_fract_y
_atom_site_fract_z
La1 La 0.000 0.000 0.000
La2 La 0.000 0.500 0.222
Al1 Al 0.000 0.000 0.456
Cd1 Cd 0.000 0.500 0.772
```

(6)
LaAl2Cd2 | PBE-GGA | relaxed

- D(E_F) (states/eV/cell) = 4.68
- V (Å³ per atom) = 22.96
- E (eV/f.u.) = -14.694
- spin magnetization (μB per formula unit) = 0.0
- E_form (eV/atom) = -0.09

Geometry as CIF:
```
data_LaAl2Cd2
_cell_length_a 8.539
_cell_length_b 8.539
_cell_length_c 3.149
_cell_angle_alpha 90.00
_cell_angle_beta 90.00
_cell_angle_gamma 90.00
_symmetry_space_group_name_H-M 'P 4/m b m'
_symmetry_Int_Tables_number 127
_symmetry_space_group_name_Hall '-P 4 2ab'
loop_
_atom_site_label
_atom_site_type_symbol
_atom_site_fract_x
_atom_site_fract_y
_atom_site_fract_z
La1 La 0.000 0.000 0.000
Al1 Al 0.172 0.328 0.500
Cd1 Cd 0.125 0.625 0.000
```

(7)
La4AlCd2 | PBE-GGA | relaxed

- D(E_F) (states/eV/cell) = 27.35
- V (Å³ per atom) = 32.09
- E (eV/f.u.) = -26.593
- spin magnetization (μB per formula unit) = 0.0
- E_form (eV/atom) = -0.19

Geometry as CIF:
```
data_La4AlCd2
_cell_length_a 5.4451
_cell_length_b 5.4451
_cell_length_c 26.2425
_cell_angle_alpha 90.00
_cell_angle_beta 90.00
_cell_angle_gamma 120.00
_symmetry_space_group_name_H-M 'R -3 m'
_symmetry_Int_Tables_number 166
_symmetry_space_group_name_Hall '-R 3 2"'
loop_
_atom_site_label
_atom_site_type_symbol
_atom_site_fract_x
_atom_site_fract_y
_atom_site_fract_z
La1 La 0.0000 0.0000 0.1202
La2 La 0.0000 0.0000 0.3725
Al1 Al 0.0000 0.0000 0.5000
Cd1 Cd 0.0000 0.0000 0.2461
```

(8)
La2Al3Cd5 | PBE-GGA | relaxed

- D(E_F) (states/eV/cell) = 3.78
- V (Å³ per atom) = 24.12
- E (eV/f.u.) = -28.765
- spin magnetization (μB per formula unit) = 0.0
- E_form (eV/atom) = -0.31

Geometry as CIF:
```
data_La2Al3Cd5
_cell_length_a 4.469
_cell_length_b 4.469
_cell_length_c 12.079
_cell_angle_alpha 90.00
_cell_angle_beta 90.00
_cell_angle_gamma 90.00
_symmetry_space_group_name_H-M 'P -4 m 2'
_symmetry_Int_Tables_number 115
loop_
_symmetry_equiv_pos_as_xyz
'x,y,z'
'y,-x,-z'
'-x,-y,z'
'-y,x,-z'
'-x,y,z'
'-y,-x,-z'
'x,-y,z'
'y,x,-z'
loop_
_atom_site_label
_atom_site_type_symbol
_atom_site_fract_x
_atom_site_fract_y
_atom_site_fract_z
La1 La 0.000 0.500 0.227
Al1 Al 0.000 0.000 0.000
Al2 Al 0.000 0.500 0.870
Cd1 Cd 0.000 0.000 0.500
Cd2 Cd 0.000 0.500 0.653
Cd3 Cd 0.500 0.500 0.000
Cd4 Cd 0.500 0.500 0.500
```

(9)
La4AlCd | PBE-GGA | relaxed

- D(E_F) (states/eV/cell) = 7.55
- V (Å³ per atom) = 33.67
- E (eV/f.u.) = -24.503
- spin magnetization (μB per formula unit) = 0.0
- E_form (eV/atom) = -0.02
- relative energy among the computed polymorphs (meV/atom) = 1

Geometry as CIF:
```
data_La4AlCd
_cell_length_a 3.873
_cell_length_b 5.857
_cell_length_c 8.906
_cell_angle_alpha 90.00
_cell_angle_beta 90.00
_cell_angle_gamma 90.00
_symmetry_space_group_name_H-M 'P m m m'
_symmetry_Int_Tables_number 47
loop_
_symmetry_equiv_pos_as_xyz
'x,y,z'
'-x,-y,-z'
'-x,-y,z'
'x,y,-z'
'x,-y,-z'
'-x,y,z'
'-x,y,-z'
'x,-y,z'
loop_
_atom_site_label
_atom_site_type_symbol
_atom_site_fract_x
_atom_site_fract_y
_atom_site_fract_z
La1 La 0.000 0.000 0.200
La2 La 0.500 0.500 0.279
Al1 Al 0.000 0.500 0.000
Cd1 Cd 0.500 0.000 0.500
```

(10)
La3Al4Cd2 | PBE-GGA | relaxed

- D(E_F) (states/eV/cell) = 16.47
- V (Å³ per atom) = 25.62
- E (eV/f.u.) = -35.221
- spin magnetization (μB per formula unit) = 0.0
- E_form (eV/atom) = -0.40

Geometry as CIF:
```
data_La3Al4Cd2
_cell_length_a 11.407
_cell_length_b 4.759
_cell_length_c 9.117
_cell_angle_alpha 90.00
_cell_angle_beta 111.29
_cell_angle_gamma 90.00
_symmetry_space_group_name_H-M 'C 1 2/m 1'
_symmetry_Int_Tables_number 12
loop_
_symmetry_equiv_pos_as_xyz
'x,y,z'
'-x,-y,-z'
'-x,y,-z'
'x,-y,z'
'x+1/2,y+1/2,z'
'-x+1/2,-y+1/2,-z'
'-x+1/2,y+1/2,-z'
'x+1/2,-y+1/2,z'
loop_
_atom_site_label
_atom_site_type_symbol
_atom_site_fract_x
_atom_site_fract_y
_atom_site_fract_z
La1 La 0.000 0.000 0.000
La2 La 0.163 0.500 0.670
Al1 Al 0.054 0.000 0.391
Al2 Al 0.233 0.500 0.061
Cd1 Cd 0.121 0.500 0.286
```

(11)
La14AlCd | PBE-GGA | relaxed

- D(E_F) (states/eV/cell) = 24.77
- V (Å³ per atom) = 34.05
- E (eV/f.u.) = -74.621
- spin magnetization (μB per formula unit) = 0.0
- E_form (eV/atom) = -0.06

Geometry as CIF:
```
data_La14AlCd
_cell_length_a 7.213
_cell_length_b 7.213
_cell_length_c 10.472
_cell_angle_alpha 90.00
_cell_angle_beta 90.00
_cell_angle_gamma 90.00
_symmetry_space_group_name_H-M 'P 4/m m m'
_symmetry_Int_Tables_number 123
_symmetry_space_group_name_Hall '-P 4 2'
loop_
_atom_site_label
_atom_site_type_symbol
_atom_site_fract_x
_atom_site_fract_y
_atom_site_fract_z
La1 La 0.000 0.000 0.000
La2 La 0.000 0.500 0.000
La3 La 0.000 0.500 0.500
La4 La 0.245 0.245 0.260
La5 La 0.500 0.500 0.000
Al1 Al 0.000 0.000 0.500
Cd1 Cd 0.500 0.500 0.500
```

(12)
La4Al3Cd | PBE-GGA | relaxed

- D(E_F) (states/eV/cell) = 23.73
- V (Å³ per atom) = 28.34
- E (eV/f.u.) = -34.609
- spin magnetization (μB per formula unit) = 0.0
- E_form (eV/atom) = -0.34

Geometry as CIF:
```
data_La4Al3Cd
_cell_length_a 5.4330
_cell_length_b 5.4330
_cell_length_c 26.6066
_cell_angle_alpha 90.00
_cell_angle_beta 90.00
_cell_angle_gamma 120.00
_symmetry_space_group_name_H-M 'R -3 m'
_symmetry_Int_Tables_number 166
_symmetry_space_group_name_Hall '-R 3 2"'
loop_
_atom_site_label
_atom_site_type_symbol
_atom_site_fract_x
_atom_site_fract_y
_atom_site_fract_z
La1 La 0.0000 0.0000 0.1222
La2 La 0.0000 0.0000 0.3725
Al1 Al 0.0000 0.0000 0.0000
Al2 Al 0.0000 0.0000 0.2478
Cd1 Cd 0.0000 0.0000 0.5000
```

Q: Look up the E_form of the twelfth one.
A: -0.34 eV/atom